# ZrMoSe2

A relaxed ZrMoSe2 crystal (GGA-PBE, Alexandria).

* E: -28.711 eV per cell
* raw formation energy: -0.59 eV/atom
* calculated density: 7.2 g/cm³
* offset from the most stable computed form: 0 meV per atom

a = 3.4721 Å, b = 3.4721 Å, c = 6.6200 Å
α = 90.00°, β = 90.00°, γ = 90.00°
Closest atoms and distances in Å follow each position.
Fractional positions:
1 Zr 0.0000 0.0000 0.0000  5 Se 2.70-2.85
2 Mo 0.5000 0.5000 0.2662  5 Se 2.69-2.88
3 Se 0.0000 0.0000 0.4310  4 Mo 2.69, 1 Zr 2.85
4 Se 0.5000 0.5000 0.8316  4 Zr 2.70, 1 Mo 2.88